{
  "formula": "Ho2ScAlS6",
  "functional": "PBE",
  "state": "relaxed",
  "lattice_angstrom": [[-0.192, -5.459, -3.718], [-0.121, -5.950, 2.872], [-5.892, -3.649, -0.209]],
  "species": ["S", "S", "S", "S", "S", "S", "Ho", "Ho", "Sc", "Al"],
  "frac_coords": [[0.100, 0.446, 0.769], [0.201, 0.960, 0.254], [0.585, 0.201, 0.254], [0.960, 0.585, 0.254], [0.685, 0.100, 0.769], [0.446, 0.685, 0.769], [0.023, 0.023, 0.931], [0.523, 0.523, 0.432], [0.819, 0.819, 0.542], [0.320, 0.320, 0.041]],
  "formation_energy_uncorrected_ev_per_atom": -1.7145,
  "final_energy_ev_per_atom": -6.11
}


{
  "formula": "ScSi2Pd",
  "functional": "PBE",
  "state": "relaxed",
  "lattice_angstrom": [[1.794, -3.424, -2.265], [2.101, -3.288, 2.203], [-1.856, -4.070, 0.252]],
  "species": ["Si", "Si", "Sc", "Pd"],
  "frac_coords": [[0.750, 0.750, 0.750], [0.250, 0.250, 0.250], [0.000, 0.000, 0.000], [0.500, 0.500, 0.500]],
  "formation_energy_uncorrected_ev_per_atom": -0.3574,
  "final_energy_ev_per_atom": -5.95
}


{
  "formula": "TbPm3Sb3",
  "functional": "PBE",
  "state": "relaxed",
  "lattice_angstrom": [[9.394, 0.000, 0.000], [0.000, 9.394, 0.000], [0.000, 0.000, 9.394]],
  "species": ["Pm", "Pm", "Pm", "Pm", "Pm", "Pm", "Pm", "Pm", "Pm", "Pm", "Pm", "Pm", "Tb", "Tb", "Tb", "Tb", "Sb", "Sb", "Sb", "Sb", "Sb", "Sb", "Sb", "Sb", "Sb", "Sb", "Sb", "Sb"],
  "frac_coords": [[0.179, 0.179, 0.179], [0.069, 0.431, 0.569], [0.678, 0.678, 0.678], [0.931, 0.931, 0.931], [0.321, 0.821, 0.679], [0.431, 0.569, 0.069], [0.822, 0.322, 0.178], [0.569, 0.069, 0.431], [0.178, 0.822, 0.322], [0.821, 0.679, 0.321], [0.679, 0.321, 0.821], [0.322, 0.178, 0.822], [0.428, 0.428, 0.428], [0.572, 0.928, 0.072], [0.928, 0.072, 0.572], [0.072, 0.572, 0.928], [0.746, 0.373, 0.499], [0.627, 0.999, 0.754], [0.754, 0.627, 0.999], [0.254, 0.873, 0.001], [0.873, 0.001, 0.254], [0.127, 0.501, 0.246], [0.499, 0.746, 0.373], [0.246, 0.127, 0.501], [0.501, 0.246, 0.127], [0.999, 0.754, 0.627], [0.001, 0.254, 0.873], [0.373, 0.499, 0.746]],
  "formation_energy_uncorrected_ev_per_atom": -1.0463,
  "final_energy_ev_per_atom": -5.51
}


{
  "formula": "PuSn2Hg",
  "functional": "PBE",
  "state": "relaxed",
  "lattice_angstrom": [[4.474, 0.000, 0.000], [0.000, 4.729, 0.000], [0.000, 0.000, 4.729]],
  "species": ["Hg", "Sn", "Sn", "Pu"],
  "frac_coords": [[0.500, 0.000, 0.000], [0.000, 0.500, 0.000], [0.000, 0.000, 0.500], [0.500, 0.500, 0.500]],
  "delta_e_f_ev_per_atom": -0.292,
  "final_energy_ev_per_atom": -5.95
}


{
  "formula": "Fe2SbRu",
  "functional": "PBE",
  "state": "relaxed",
  "lattice_angstrom": [[-2.632, 7.635, -0.468], [-3.703, 6.515, -3.047], [-5.243, 6.140, -0.489]],
  "species": ["Fe", "Fe", "Ru", "Sb"],
  "frac_coords": [[0.253, 0.253, 0.253], [0.994, 0.994, 0.994], [0.505, 0.505, 0.505], [0.749, 0.749, 0.749]],
  "formation_energy_uncorrected_ev_per_atom": 0.4029,
  "final_energy_ev_per_atom": -7.18
}


{
  "formula": "Pr2In5Pd4",
  "functional": "PBE",
  "state": "relaxed",
  "lattice_angstrom": [[-3.776, -3.362, 3.029], [1.884, -3.910, 3.742], [-2.110, 4.299, 7.874]],
  "species": ["In", "In", "In", "In", "In", "Pr", "Pr", "Pd", "Pd", "Pd", "Pd"],
  "frac_coords": [[0.750, 0.500, 0.500], [0.250, 0.500, 0.500], [0.500, 0.500, 0.000], [0.500, 0.000, 0.000], [0.000, 0.500, 0.000], [0.125, 0.000, 0.751], [0.875, 0.000, 0.249], [0.526, 0.687, 0.262], [0.787, 0.687, 0.738], [0.474, 0.313, 0.738], [0.213, 0.313, 0.262]],
  "delta_e_f_ev_per_atom": -0.550,
  "final_energy_ev_per_atom": -4.55
}


{
  "formula": "Hf4AuS",
  "functional": "PBE",
  "state": "relaxed",
  "lattice_angstrom": [[3.352, 0.000, 0.000], [0.000, 5.915, -0.002], [0.000, -0.019, 12.579]],
  "species": ["Hf", "Hf", "Hf", "Hf", "Hf", "Hf", "Hf", "Hf", "Au", "Au", "S", "S"],
  "frac_coords": [[0.000, 0.332, 0.160], [0.999, 0.665, 0.346], [0.000, 0.668, 0.840], [0.499, 0.835, 0.154], [0.001, 0.335, 0.654], [0.500, 0.168, 0.340], [0.500, 0.832, 0.660], [0.501, 0.165, 0.846], [0.000, 0.000, 0.500], [0.500, 0.500, 0.000], [0.000, 0.000, 0.000], [0.500, 0.500, 0.500]],
  "formation_energy_uncorrected_ev_per_atom": -0.4994,
  "final_energy_ev_per_atom": -8.37
}


{
  "formula": "ZrAsRh2",
  "functional": "PBE",
  "state": "relaxed",
  "lattice_angstrom": [[-3.741, 0.552, -2.499], [-3.432, -2.936, 0.379], [-3.873, 1.285, 1.972]],
  "species": ["Rh", "Rh", "As", "Zr"],
  "frac_coords": [[0.250, 0.250, 0.250], [0.000, 0.000, 0.000], [0.500, 0.500, 0.500], [0.750, 0.750, 0.750]],
  "delta_e_f_ev_per_atom": -0.411,
  "final_energy_ev_per_atom": -7.39
}